VASP calculation (PBE) on a relaxed structure of Lu4TlPbC2.

## Properties
Space-group type ... No. 187
Total DFT energy (no corrections) ... -5.8297 eV/atom
Density ... 10.982 Mg/m³

The structure in POSCAR format:
```
Lu4TlPbC2
1.0
3.5470 0.0000 0.0000
-1.7735 3.0718 0.0000
0.0000 0.0000 15.7577
Lu Tl Pb C
4 1 1 2
direct
0.0000 0.0000 0.1667 Lu
0.0000 0.0000 0.8333 Lu
0.3333 0.6667 0.3306 Lu
0.3333 0.6667 0.6694 Lu
0.3333 0.6667 0.0000 Tl
0.0000 0.0000 0.5000 Pb
0.6667 0.3333 0.2511 C
0.6667 0.3333 0.7489 C
```

---

VASP calculation (PBE) on a relaxed structure of Sm2Y2CBr2Cl3.

## Properties
Space-group type ... No. 12
Total DFT energy (no corrections) ... -5.6365 eV/atom
Density ... 4.941 Mg/m³

The structure in POSCAR format:
```
Sm2Y2CBr2Cl3
1.0
8.7193 -1.8935 0.0000
8.7193 1.8935 0.0000
-1.8058 0.0000 7.7021
Sm Y C Br Cl
2 2 1 2 3
direct
0.1455 0.1455 0.0785 Sm
0.8545 0.8545 0.9215 Sm
0.4977 0.4977 0.2085 Y
0.5023 0.5023 0.7915 Y
0.0000 0.0000 0.0000 C
0.3354 0.3354 0.6372 Br
0.6646 0.6646 0.3628 Br
0.0000 0.0000 0.5000 Cl
0.3322 0.3322 0.1712 Cl
0.6678 0.6678 0.8288 Cl
```